First-principles (PBE) data for LiAcTmGe after structural relaxation, as listed in Alexandria via LeMat-Bulk.

The electronic total energy comes out at -16.27 eV/f.u. For the calculated density, the calculation gives 7.58 g cm⁻³.

It has space group F-43m (No. 216), with a = 7.470 Å, b = 7.470 Å, c = 7.470 Å, α = 90.00°, β = 90.00° and γ = 90.00°. The distinct sites, in fractional coordinates, are Li at (0.000, 0.000, 0.000), Ac at (0.250, 0.250, 0.250), Tm at (0.250, 0.250, 0.750) and Ge at (0.000, 0.000, 0.500).